DFT (SCAN) results for RbAuSeBr2 at its PBEsol-relaxed geometry.

a = 6.144 Å, b = 6.144 Å, c = 6.084 Å
α = 90.00°, β = 90.00°, γ = 90.00°
Atoms (fractional coordinates):
Rb 0.000 0.000 0.000
Au 0.500 0.500 0.500
Se 0.000 0.000 0.500
Br 0.000 0.500 0.000
Br 0.500 0.000 0.000

Results
Formation energy without anion corrections, eV per atom: 0.646
Total magnetization, μB per cell: 2.05
D(E_F), states/eV per atom: 1.088
Calculated volume, Å³ per atom: 45.9


DFT (SCAN) results for ReAuBr at its PBEsol-relaxed geometry.

a = 6.149 Å, b = 6.149 Å, c = 6.149 Å
α = 90.00°, β = 90.00°, γ = 90.00°
Atoms (fractional coordinates):
Re 0.000 0.000 0.000
Re 0.000 0.500 0.500
Re 0.500 0.000 0.500
Re 0.500 0.500 0.000
Au 0.250 0.250 0.250
Au 0.250 0.750 0.750
Au 0.750 0.250 0.750
Au 0.750 0.750 0.250
Br 0.250 0.250 0.750
Br 0.250 0.750 0.250
Br 0.750 0.250 0.250
Br 0.750 0.750 0.750

Results
Formation energy without anion corrections, eV per atom: 1.269
Total magnetization, μB per cell: 0.00
D(E_F), states/eV per atom: 0.837
Calculated volume, Å³ per atom: 19.4


DFT (SCAN) results for ReAuBr2 at its PBEsol-relaxed geometry.

a = 2.968 Å, b = 4.765 Å, c = 12.696 Å
α = 90.00°, β = 90.00°, γ = 90.00°
Atoms (fractional coordinates):
Re 0.000 0.000 0.000
Re 0.500 0.500 0.500
Au 0.000 0.000 0.500
Au 0.500 0.500 0.000
Br 0.000 0.500 0.338
Br 0.000 0.500 0.662
Br 0.500 0.000 0.162
Br 0.500 0.000 0.838

Results
Formation energy without anion corrections, eV per atom: 0.427
Energy above the lowest structure with this stoichiometry, meV per atom: 0
Total magnetization, μB per cell: 2.27
D(E_F), states/eV per atom: 0.284
Calculated volume, Å³ per atom: 22.4


DFT (SCAN) results for ReAuBr2 at its PBEsol-relaxed geometry.

a = 4.813 Å, b = 4.813 Å, c = 3.149 Å
α = 90.00°, β = 90.00°, γ = 90.00°
Atoms (fractional coordinates):
Re 0.000 0.000 0.000
Au 0.500 0.500 0.000
Br 0.000 0.500 0.500
Br 0.500 0.000 0.500

Results
Formation energy without anion corrections, eV per atom: 1.498
Energy above the lowest structure with this stoichiometry, meV per atom: 1071
Total magnetization, μB per cell: 1.28
D(E_F), states/eV per atom: 0.610
Calculated volume, Å³ per atom: 18.2


DFT (SCAN) results for Rh2AuBr at its PBEsol-relaxed geometry.

a = 6.581 Å, b = 6.597 Å, c = 2.902 Å
α = 90.00°, β = 90.00°, γ = 90.00°
Atoms (fractional coordinates):
Rh 0.250 0.250 0.000
Rh 0.250 0.750 0.000
Rh 0.750 0.250 0.000
Rh 0.750 0.750 0.000
Au 0.000 0.000 0.500
Au 0.500 0.500 0.500
Br 0.000 0.500 0.500
Br 0.500 0.000 0.500

Results
Formation energy without anion corrections, eV per atom: 0.606
Energy above the lowest structure with this stoichiometry, meV per atom: 82
Total magnetization, μB per cell: 0.00
D(E_F), states/eV per atom: 1.177
Calculated volume, Å³ per atom: 15.8


DFT (SCAN) results for RhAuBr at its PBEsol-relaxed geometry.

a = 6.155 Å, b = 6.155 Å, c = 6.155 Å
α = 90.00°, β = 90.00°, γ = 90.00°
Atoms (fractional coordinates):
Rh 0.000 0.000 0.000
Rh 0.000 0.500 0.500
Rh 0.500 0.000 0.500
Rh 0.500 0.500 0.000
Au 0.000 0.000 0.500
Au 0.000 0.500 0.000
Au 0.500 0.000 0.000
Au 0.500 0.500 0.500
Br 0.250 0.250 0.250
Br 0.250 0.750 0.750
Br 0.750 0.250 0.750
Br 0.750 0.750 0.250

Results
Formation energy without anion corrections, eV per atom: 1.053
Total magnetization, μB per cell: 0.00
D(E_F), states/eV per atom: 1.160
Calculated volume, Å³ per atom: 19.4


DFT (SCAN) results for Rh2AuBr at its PBEsol-relaxed geometry.

a = 6.355 Å, b = 6.355 Å, c = 6.355 Å
α = 90.00°, β = 90.00°, γ = 90.00°
Atoms (fractional coordinates):
Rh 0.000 0.000 0.000
Rh 0.000 0.500 0.500
Rh 0.250 0.250 0.250
Rh 0.250 0.750 0.750
Rh 0.500 0.000 0.500
Rh 0.500 0.500 0.000
Rh 0.750 0.250 0.750
Rh 0.750 0.750 0.250
Au 0.000 0.000 0.500
Au 0.000 0.500 0.000
Au 0.500 0.000 0.000
Au 0.500 0.500 0.500
Br 0.250 0.250 0.750
Br 0.250 0.750 0.250
Br 0.750 0.250 0.250
Br 0.750 0.750 0.750

Results
Formation energy without anion corrections, eV per atom: 0.779
Energy above the lowest structure with this stoichiometry, meV per atom: 256
Total magnetization, μB per cell: 0.03
D(E_F), states/eV per atom: 1.197
Calculated volume, Å³ per atom: 16.0


DFT (SCAN) results for Rh2AuBr at its PBEsol-relaxed geometry.

a = 2.862 Å, b = 4.654 Å, c = 9.634 Å
α = 90.00°, β = 90.00°, γ = 90.00°
Atoms (fractional coordinates):
Rh 0.000 0.000 0.000
Rh 0.000 0.500 0.268
Rh 0.500 0.000 0.768
Rh 0.500 0.500 0.500
Au 0.000 0.500 0.762
Au 0.500 0.000 0.262
Br 0.000 0.000 0.543
Br 0.500 0.500 0.043

Results
Formation energy without anion corrections, eV per atom: 0.548
Energy above the lowest structure with this stoichiometry, meV per atom: 24
Total magnetization, μB per cell: 0.00
D(E_F), states/eV per atom: 1.041
Calculated volume, Å³ per atom: 16.0


DFT (SCAN) results for Rh3AuBr at its PBEsol-relaxed geometry.

a = 4.841 Å, b = 4.841 Å, c = 4.841 Å
α = 90.00°, β = 90.00°, γ = 90.00°
Atoms (fractional coordinates):
Rh 0.000 0.000 0.500
Rh 0.000 0.500 0.000
Rh 0.500 0.000 0.000
Au 0.000 0.000 0.000
Br 0.500 0.500 0.500

Results
Formation energy without anion corrections, eV per atom: 1.590
Total magnetization, μB per cell: 4.26
D(E_F), states/eV per atom: 1.535
Calculated volume, Å³ per atom: 22.7


DFT (SCAN) results for RhAu2Br at its PBEsol-relaxed geometry.

a = 8.649 Å, b = 3.181 Å, c = 6.124 Å
α = 90.00°, β = 103.11°, γ = 90.00°
Atoms (fractional coordinates):
Rh 0.000 0.000 0.000
Rh 0.500 0.500 0.000
Au 0.254 0.000 0.828
Au 0.495 0.000 0.622
Au 0.754 0.500 0.828
Au 0.995 0.500 0.622
Br 0.124 0.500 0.276
Br 0.624 0.000 0.276

Results
Formation energy without anion corrections, eV per atom: 0.194
Energy above the lowest structure with this stoichiometry, meV per atom: 0
Total magnetization, μB per cell: 0.00
D(E_F), states/eV per atom: 0.068
Calculated volume, Å³ per atom: 20.5


DFT (SCAN) results for Rh2AuBr at its PBEsol-relaxed geometry.

a = 2.806 Å, b = 4.915 Å, c = 9.658 Å
α = 90.00°, β = 90.00°, γ = 90.00°
Atoms (fractional coordinates):
Rh 0.000 0.000 0.000
Rh 0.000 0.500 0.220
Rh 0.500 0.000 0.220
Rh 0.500 0.500 0.000
Au 0.000 0.000 0.466
Au 0.500 0.500 0.466
Br 0.000 0.500 0.772
Br 0.500 0.000 0.772

Results
Formation energy without anion corrections, eV per atom: 0.524
Energy above the lowest structure with this stoichiometry, meV per atom: 0
Total magnetization, μB per cell: 0.00
D(E_F), states/eV per atom: 0.927
Calculated volume, Å³ per atom: 16.6


DFT (SCAN) results for RhAu2Br at its PBEsol-relaxed geometry.

a = 5.112 Å, b = 5.112 Å, c = 2.707 Å
α = 90.00°, β = 90.00°, γ = 90.00°
Atoms (fractional coordinates):
Rh 0.000 0.000 0.000
Au 0.000 0.500 0.500
Au 0.500 0.000 0.500
Br 0.500 0.500 0.000

Results
Formation energy without anion corrections, eV per atom: 0.724
Energy above the lowest structure with this stoichiometry, meV per atom: 530
Total magnetization, μB per cell: 0.59
D(E_F), states/eV per atom: 0.721
Calculated volume, Å³ per atom: 17.7